No. 1
# Tb2YGe2 GGA-PBE optimized geometry
data_Tb2YGe2
_chemical_formula_sum 'Tb4 Y2 Ge4'
_symmetry_space_group_name_H-M 'P 1'
_symmetry_Int_Tables_number 1
_symmetry_space_group_name_Hall 'P 1'
_cell_length_a 7.614
_cell_length_b 7.614
_cell_length_c 4.266
_cell_angle_alpha 90.00
_cell_angle_beta 90.00
_cell_angle_gamma 90.00
loop_
_atom_site_label
_atom_site_fract_x
_atom_site_fract_y
_atom_site_fract_z
_atom_site_occupancy
Tb1 0.173 0.327 0.000 1
Tb2 0.327 0.827 0.000 1
Tb3 0.673 0.173 0.000 1
Tb4 0.827 0.673 0.000 1
Y1 0.000 0.000 0.500 1
Y2 0.500 0.500 0.500 1
Ge1 0.124 0.624 0.500 1
Ge2 0.376 0.124 0.500 1
Ge3 0.624 0.876 0.500 1
Ge4 0.876 0.376 0.500 1
# * offset from the most stable computed form: 0 meV/atom
# * total energy: -5.788 eV/atom
# * crystal system: tetragonal
# * calculated formation energy: -3.98 eV/f.u.

***

No. 2
# Mg2ZnPb GGA-PBE optimized geometry
data_Mg2ZnPb
_chemical_formula_sum 'Mg2 Zn1 Pb1'
_symmetry_space_group_name_H-M 'P 1'
_symmetry_Int_Tables_number 1
_symmetry_space_group_name_Hall 'P 1'
_cell_length_a 3.214
_cell_length_b 4.466
_cell_length_c 6.546
_cell_angle_alpha 90.00
_cell_angle_beta 102.18
_cell_angle_gamma 90.00
loop_
_atom_site_label
_atom_site_fract_x
_atom_site_fract_y
_atom_site_fract_z
_atom_site_occupancy
Mg1 0.000 0.000 0.000 1
Mg2 0.363 0.500 0.719 1
Zn1 0.571 0.500 0.155 1
Pb1 0.747 0.000 0.468 1
# * total energy: -2.038 eV/atom
# * crystal system: monoclinic
# * calculated formation energy: 0.02 eV/f.u.

***

No. 3
# Tb6NdEr2Mg GGA-PBE optimized geometry
data_Tb6NdEr2Mg
_chemical_formula_sum 'Tb12 Nd2 Er4 Mg2'
_symmetry_space_group_name_H-M 'P 1'
_symmetry_Int_Tables_number 1
_symmetry_space_group_name_Hall 'P 1'
_cell_length_a 10.808
_cell_length_b 10.808
_cell_length_c 6.658
_cell_angle_alpha 93.84
_cell_angle_beta 93.84
_cell_angle_gamma 124.77
loop_
_atom_site_label
_atom_site_fract_x
_atom_site_fract_y
_atom_site_fract_z
_atom_site_occupancy
Tb1 0.068 0.782 0.956 1
Tb2 0.086 0.572 0.288 1
Tb3 0.218 0.932 0.544 1
Tb4 0.314 0.481 0.020 1
Tb5 0.428 0.914 0.212 1
Tb6 0.481 0.314 0.520 1
Tb7 0.519 0.686 0.480 1
Tb8 0.572 0.086 0.788 1
Tb9 0.686 0.519 0.980 1
Tb10 0.782 0.068 0.456 1
Tb11 0.914 0.428 0.712 1
Tb12 0.932 0.218 0.044 1
Nd1 0.013 0.987 0.250 1
Nd2 0.987 0.013 0.750 1
Er1 0.173 0.342 0.506 1
Er2 0.342 0.173 0.006 1
Er3 0.658 0.827 0.994 1
Er4 0.827 0.658 0.494 1
Mg1 0.292 0.708 0.750 1
Mg2 0.708 0.292 0.250 1
# * total energy: -4.212 eV/atom
# * crystal system: monoclinic
# * calculated formation energy: 1.15 eV/f.u.

***

No. 4
# CsAc GGA-PBE optimized geometry
data_CsAc
_chemical_formula_sum 'Cs2 Ac2'
_symmetry_space_group_name_H-M 'P 1'
_symmetry_Int_Tables_number 1
_symmetry_space_group_name_Hall 'P 1'
_cell_length_a 4.069
_cell_length_b 4.069
_cell_length_c 16.032
_cell_angle_alpha 90.00
_cell_angle_beta 90.00
_cell_angle_gamma 120.00
loop_
_atom_site_label
_atom_site_fract_x
_atom_site_fract_y
_atom_site_fract_z
_atom_site_occupancy
Cs1 0.333 0.667 0.000 1
Cs2 0.667 0.333 0.500 1
Ac1 0.333 0.667 0.753 1
Ac2 0.667 0.333 0.253 1
# * total energy: -2.039 eV/atom
# * crystal system: hexagonal
# * calculated formation energy: 0.88 eV/f.u.

***

No. 5
# La2ZnSiOs GGA-PBE optimized geometry
data_La2ZnSiOs
_chemical_formula_sum 'La2 Zn1 Si1 Os1'
_symmetry_space_group_name_H-M 'P 1'
_symmetry_Int_Tables_number 1
_symmetry_space_group_name_Hall 'P 1'
_cell_length_a 5.585
_cell_length_b 5.585
_cell_length_c 4.619
_cell_angle_alpha 90.00
_cell_angle_beta 90.00
_cell_angle_gamma 90.00
loop_
_atom_site_label
_atom_site_fract_x
_atom_site_fract_y
_atom_site_fract_z
_atom_site_occupancy
La1 0.000 0.500 0.000 1
La2 0.500 0.000 0.000 1
Zn1 0.000 0.000 0.500 1
Si1 0.500 0.500 0.500 1
Os1 0.500 0.500 0.000 1
# * total energy: -5.735 eV/atom
# * uncorrected formation energy: -178 meV/atom
# * crystal system: tetragonal

***

No. 6
# KBeAs4 GGA-PBE optimized geometry
data_KBeAs4
_chemical_formula_sum 'K1 Be1 As4'
_symmetry_space_group_name_H-M 'P 1'
_symmetry_Int_Tables_number 1
_symmetry_space_group_name_Hall 'P 1'
_cell_length_a 5.708
_cell_length_b 5.708
_cell_length_c 5.708
_cell_angle_alpha 60.00
_cell_angle_beta 60.00
_cell_angle_gamma 60.00
loop_
_atom_site_label
_atom_site_fract_x
_atom_site_fract_y
_atom_site_fract_z
_atom_site_occupancy
K1 0.000 0.000 0.000 1
Be1 0.250 0.250 0.250 1
As1 0.145 0.618 0.618 1
As2 0.618 0.145 0.618 1
As3 0.618 0.618 0.145 1
As4 0.618 0.618 0.618 1
# * total energy: -3.504 eV/atom
# * crystal system: cubic
# * calculated formation energy: 2.40 eV/f.u.

***

No. 7
# Y2Ga2Br GGA-PBE optimized geometry
data_Y2Ga2Br
_chemical_formula_sum 'Y4 Ga4 Br2'
_symmetry_space_group_name_H-M 'P 1'
_symmetry_Int_Tables_number 1
_symmetry_space_group_name_Hall 'P 1'
_cell_length_a 7.865
_cell_length_b 7.865
_cell_length_c 4.110
_cell_angle_alpha 90.00
_cell_angle_beta 90.00
_cell_angle_gamma 90.00
loop_
_atom_site_label
_atom_site_fract_x
_atom_site_fract_y
_atom_site_fract_z
_atom_site_occupancy
Y1 0.180 0.320 0.000 1
Y2 0.320 0.820 0.000 1
Y3 0.680 0.180 0.000 1
Y4 0.820 0.680 0.000 1
Ga1 0.113 0.613 0.500 1
Ga2 0.387 0.113 0.500 1
Ga3 0.613 0.887 0.500 1
Ga4 0.887 0.387 0.500 1
Br1 0.000 0.000 0.000 1
Br2 0.500 0.500 0.000 1
# * total energy: -4.874 eV/atom
# * uncorrected formation energy: -743 meV/atom
# * crystal system: tetragonal

***

No. 8
# Cu2NiAgHg GGA-PBE optimized geometry
data_Cu2NiAgHg
_chemical_formula_sum 'Cu2 Ni1 Ag1 Hg1'
_symmetry_space_group_name_H-M 'P 1'
_symmetry_Int_Tables_number 1
_symmetry_space_group_name_Hall 'P 1'
_cell_length_a 4.795
_cell_length_b 4.795
_cell_length_c 4.792
_cell_angle_alpha 90.00
_cell_angle_beta 90.00
_cell_angle_gamma 90.00
loop_
_atom_site_label
_atom_site_fract_x
_atom_site_fract_y
_atom_site_fract_z
_atom_site_occupancy
Cu1 0.000 0.500 0.000 1
Cu2 0.500 0.000 0.000 1
Ni1 0.000 0.000 0.500 1
Ag1 0.500 0.500 0.500 1
Hg1 0.000 0.000 0.000 1
# * offset from the most stable computed form: 71 meV/atom
# * total energy: -2.359 eV/atom
# * crystal system: tetragonal
# * calculated formation energy: 5.33 eV/f.u.

***

No. 9
# Be2V2Mo GGA-PBE optimized geometry
data_Be2V2Mo
_chemical_formula_sum 'Be4 V4 Mo2'
_symmetry_space_group_name_H-M 'P 1'
_symmetry_Int_Tables_number 1
_symmetry_space_group_name_Hall 'P 1'
_cell_length_a 6.174
_cell_length_b 6.174
_cell_length_c 3.088
_cell_angle_alpha 90.00
_cell_angle_beta 90.00
_cell_angle_gamma 90.00
loop_
_atom_site_label
_atom_site_fract_x
_atom_site_fract_y
_atom_site_fract_z
_atom_site_occupancy
Be1 0.116 0.384 0.000 1
Be2 0.384 0.884 0.000 1
Be3 0.616 0.116 0.000 1
Be4 0.884 0.616 0.000 1
V1 0.180 0.680 0.500 1
V2 0.320 0.180 0.500 1
V3 0.680 0.820 0.500 1
V4 0.820 0.320 0.500 1
Mo1 0.000 0.000 0.000 1
Mo2 0.500 0.500 0.000 1
# * offset from the most stable computed form: 0 meV/atom
# * total energy: -7.419 eV/atom
# * crystal system: tetragonal
# * calculated formation energy: -0.58 eV/f.u.

***

No. 10
# SmGd2Co GGA-PBE optimized geometry
data_SmGd2Co
_chemical_formula_sum 'Sm1 Gd2 Co1'
_symmetry_space_group_name_H-M 'P 1'
_symmetry_Int_Tables_number 1
_symmetry_space_group_name_Hall 'P 1'
_cell_length_a 9.547
_cell_length_b 9.547
_cell_length_c 9.547
_cell_angle_alpha 22.61
_cell_angle_beta 22.61
_cell_angle_gamma 22.61
loop_
_atom_site_label
_atom_site_fract_x
_atom_site_fract_y
_atom_site_fract_z
_atom_site_occupancy
Sm1 0.000 0.000 0.000 1
Gd1 0.223 0.223 0.223 1
Gd2 0.777 0.777 0.777 1
Co1 0.500 0.500 0.500 1
# * offset from the most stable computed form: 36 meV/atom
# * total energy: -9.996 eV/atom
# * crystal system: trigonal
# * calculated formation energy: 0.00 eV/f.u.

***

No. 11
# UNi3As GGA-PBE optimized geometry
data_UNi3As
_chemical_formula_sum 'U1 Ni3 As1'
_symmetry_space_group_name_H-M 'P 1'
_symmetry_Int_Tables_number 1
_symmetry_space_group_name_Hall 'P 1'
_cell_length_a 3.896
_cell_length_b 4.790
_cell_length_c 4.790
_cell_angle_alpha 61.71
_cell_angle_beta 90.00
_cell_angle_gamma 90.00
loop_
_atom_site_label
_atom_site_fract_x
_atom_site_fract_y
_atom_site_fract_z
_atom_site_occupancy
U1 0.000 0.000 0.000 1
Ni1 0.000 0.338 0.338 1
Ni2 0.500 0.490 0.989 1
Ni3 0.500 0.989 0.490 1
As1 0.500 0.501 0.501 1
# * total energy: -6.876 eV/atom
# * crystal system: orthorhombic
# * calculated formation energy: -1.10 eV/f.u.

***

No. 12
# AgHg2F7 GGA-PBE optimized geometry
data_AgHg2F7
_chemical_formula_sum 'Ag2 Hg4 F14'
_symmetry_space_group_name_H-M 'P 1'
_symmetry_Int_Tables_number 1
_symmetry_space_group_name_Hall 'P 1'
_cell_length_a 5.838
_cell_length_b 5.838
_cell_length_c 10.893
_cell_angle_alpha 98.54
_cell_angle_beta 98.54
_cell_angle_gamma 73.91
loop_
_atom_site_label
_atom_site_fract_x
_atom_site_fract_y
_atom_site_fract_z
_atom_site_occupancy
Ag1 0.165 0.835 0.750 1
Ag2 0.835 0.165 0.250 1
Hg1 0.246 0.309 0.080 1
Hg2 0.309 0.246 0.580 1
Hg3 0.691 0.754 0.420 1
Hg4 0.754 0.691 0.920 1
F1 0.012 0.673 0.604 1
F2 0.052 0.203 0.687 1
F3 0.203 0.052 0.187 1
F4 0.203 0.580 0.968 1
F5 0.327 0.988 0.896 1
F6 0.420 0.797 0.532 1
F7 0.456 0.544 0.750 1
F8 0.544 0.456 0.250 1
F9 0.580 0.203 0.468 1
F10 0.673 0.012 0.104 1
F11 0.797 0.420 0.032 1
F12 0.797 0.948 0.813 1
F13 0.948 0.797 0.313 1
F14 0.988 0.327 0.396 1
# * total energy: -2.836 eV/atom
# * uncorrected formation energy: -1181 meV/atom
# * crystal system: monoclinic